Crystalline MgAlPb2 at its relaxed geometry, computed with GGA-PBE.

Values from the calculation:
Formation energy = 0.13 eV per atom
Calculated total energy = -3.057 eV per atom

Lattice parameters (Å, degrees): 5.2522 5.2522 5.2522 60.00 60.00 60.00
Closest atoms and distances in Å follow each position.
Atoms (fractional coordinates):
1 Pb 0.2500 0.2500 0.2500  4 Al 3.22, 4 Mg 3.22
2 Al 0.5000 0.5000 0.5000  8 Pb 3.22
3 Mg 0.0000 0.0000 0.0000  8 Pb 3.22
4 Pb 0.7500 0.7500 0.7500  4 Mg 3.22, 4 Al 3.22

=====

Crystalline Ac3Hg2Pd at its relaxed geometry, computed with GGA-PBE.

Values from the calculation:
Formation energy = -0.56 eV per atom
Calculated total energy = -3.577 eV per atom

Lattice parameters (Å, degrees): 5.5809 8.8350 8.0059 90.00 90.00 71.59
Closest atoms and distances in Å follow each position.
Atoms (fractional coordinates):
1 Hg 0.0000 0.0000 0.5000  8 Ac 3.47-3.60
2 Hg 0.3332 0.3337 0.5000  8 Ac 3.45-3.52
3 Ac 0.5000 0.0000 0.2421  2 Pd 3.25, 6 Hg 3.40-3.48
4 Ac 0.8278 0.3444 0.7686  3 Pd 3.36-3.43, 5 Hg 3.43-3.60, 1 Ac 3.70
5 Pd 0.6559 0.6881 0.0000  8 Ac 3.25-3.43
6 Ac 0.5000 0.0000 0.7579  2 Pd 3.25, 6 Hg 3.40-3.48
7 Pd 0.3441 0.3119 0.0000  8 Ac 3.25-3.43
8 Hg 0.0000 0.0000 0.0000  8 Ac 3.40-3.43
9 Ac 0.1722 0.6556 0.2314  3 Pd 3.36-3.43, 5 Hg 3.43-3.60, 1 Ac 3.70
10 Ac 0.8278 0.3444 0.2314  3 Pd 3.36-3.43, 5 Hg 3.43-3.60, 1 Ac 3.70
11 Ac 0.1722 0.6556 0.7686  3 Pd 3.36-3.43, 5 Hg 3.43-3.60, 1 Ac 3.70
12 Hg 0.6668 0.6663 0.5000  8 Ac 3.45-3.52

=====

Crystalline HgHS at its relaxed geometry, computed with GGA-PBE.

Values from the calculation:
Calculated total energy = -2.620 eV per atom

Lattice parameters (Å, degrees): 4.3116 4.3085 9.9750 86.17 69.90 59.95
Closest atoms and distances in Å follow each position.
Atoms (fractional coordinates):
1 H 0.5373 0.0283 0.5230  1 H 0.75
2 Hg 0.1833 0.3815 0.1532  3 S 2.51
3 S 0.4822 0.7258 0.1889  3 Hg 2.51
4 S 0.5178 0.2742 0.8111  3 Hg 2.51
5 H 0.4627 0.9717 0.4770  1 H 0.75
6 Hg 0.8167 0.6185 0.8468  3 S 2.51